10
Lattice="-2.782 3.987 4.787 2.782 -3.987 4.787 2.782 3.987 -4.787" Properties=species:S:1:pos:R:3 comment="PmBiPd3, optimized geometry, DFT PBE" space_group="No. 74" formation_enthalpy_0k_ev_per_atom=-0.526 density_g_cm3=10.53 magnetic_moment_mub_per_fu=0.00 dos_at_fermi_per_ev_cell=7.14 pbc="T T T"
Pm 0.000 1.994 0.030
Pm 2.782 1.994 4.757
Bi 2.782 0.000 0.000
Bi 0.000 0.000 4.787
Pd 2.782 1.994 -1.910
Pd 1.391 4.534 -2.394
Pd 1.391 0.546 2.394
Pd -1.391 3.441 2.394
Pd 1.391 3.441 2.394
Pd 0.000 1.994 6.697